Density functional theory data (GGA-PBE) for crystalline Cs2HoAlTe4 at its relaxed geometry.

Values from the calculation:
- total energy (eV per atom) = -3.857
- space group = Fddd (70)
- crystal system = orthorhombic
- uncorrected formation energy (eV per atom) = -1.033
- D(E_F) (states/eV/cell) = 0.00

abc: 6.783 8.653 14.497
angles: 84.74 76.47 66.93
Fractional positions:
Cs 0.181 0.000 0.638
Cs 0.819 0.000 0.362
Cs 0.569 0.500 0.862
Cs 0.931 0.500 0.138
Ho 0.750 0.500 0.500
Ho 0.000 0.000 0.000
Al 0.250 0.500 0.500
Al 0.500 0.000 0.000
Te 0.324 0.800 0.109
Te 0.232 0.200 0.891
Te 0.876 0.800 0.891
Te 0.568 0.200 0.109
Te 0.426 0.700 0.391
Te 0.518 0.300 0.609
Te 0.874 0.700 0.609
Te 0.182 0.300 0.391